No. 1
# GGA-PBE NpZnBi2, optimized geometry
# - N(E_F) (states/eV/cell) = 40.52
# - V (Å³/cell) = 364
# - energy relative to the lowest polymorph listed for this composition (eV/atom) = 0.253
# - total energy (eV per atom) = -5.21
data_NpZnBi2
_cell_length_a 4.5513
_cell_length_b 4.5513
_cell_length_c 20.2827
_cell_angle_alpha 90.00
_cell_angle_beta 90.00
_cell_angle_gamma 120.00
_space_group_name_H-M_alt 'R 3 m'
_space_group_IT_number 160
_space_group_name_Hall 'R 3 -2"'
loop_
_atom_site_label
_atom_site_fract_x
_atom_site_fract_y
_atom_site_fract_z
Np1 0.0000 0.0000 0.0000
Zn1 0.0000 0.0000 0.8350
Bi1 0.0000 0.0000 0.4206
Bi2 0.0000 0.0000 0.5814

***

No. 2
# GGA-PBE BaAcInAu, optimized geometry
# - N(E_F) (states/eV/cell) = 10.11
# - V (Å³/cell) = 542
# - total energy (eV per atom) = -3.52
data_BaAcInAu
_cell_length_a 8.152
_cell_length_b 8.152
_cell_length_c 8.152
_cell_angle_alpha 90.00
_cell_angle_beta 90.00
_cell_angle_gamma 90.00
_space_group_name_H-M_alt 'F -4 3 m'
_space_group_IT_number 216
_space_group_name_Hall 'F -4 2 3'
loop_
_atom_site_label
_atom_site_fract_x
_atom_site_fract_y
_atom_site_fract_z
Ba1 0.000 0.000 0.000
Ac1 0.000 0.000 0.500
In1 0.250 0.250 0.250
Au1 0.250 0.250 0.750

***

No. 3
# GGA-PBE TlC3, optimized geometry
# - N(E_F) (states/eV/cell) = 1.19
# - V (Å³/cell) = 91
# - energy relative to the lowest polymorph listed for this composition (eV/atom) = 2.503
# - total energy (eV per atom) = -4.23
data_TlC3
_cell_length_a 4.496
_cell_length_b 4.496
_cell_length_c 4.496
_cell_angle_alpha 90.00
_cell_angle_beta 90.00
_cell_angle_gamma 90.00
_space_group_name_H-M_alt 'I m -3 m'
_space_group_IT_number 229
_space_group_name_Hall '-I 4 2 3'
loop_
_atom_site_label
_atom_site_fract_x
_atom_site_fract_y
_atom_site_fract_z
Tl1 0.000 0.000 0.000
C1 0.000 0.000 0.500

***

Question: total energy of number 3 (TlC3)?
Answer: -4.23 eV per atom

***

Question: Which of these has the lowest V?
Answer: TlC3

***

Question: The highest total energy belongs to which entry?
Answer: BaAcInAu